# 1
# VI2O2 PBE+U optimized geometry
data_VI2O2
_space_group_name_H-M_alt 'P 4/m m m'
_space_group_IT_number 123
_space_group_name_Hall '-P 4 2'
_cell_length_a 4.048
_cell_length_b 4.048
_cell_length_c 5.908
_cell_angle_alpha 90.00
_cell_angle_beta 90.00
_cell_angle_gamma 90.00
loop_
_atom_site_label
_atom_site_fract_x
_atom_site_fract_y
_atom_site_fract_z
_atom_site_occupancy
V1 0.000 0.000 0.000 1
I1 0.000 0.000 0.500 1
I2 0.500 0.500 0.500 1
O1 0.000 0.500 0.000 1
# Relative energy among the computed polymorphs   0.0 meV/atom
# Calculated volume   96.8 Å³/f.u.

=====

# 2
# VIO3 PBE+U optimized geometry
data_VIO3
_space_group_name_H-M_alt 'P m -3 m'
_space_group_IT_number 221
_space_group_name_Hall '-P 4 2 3'
_cell_length_a 3.960
_cell_length_b 3.960
_cell_length_c 3.960
_cell_angle_alpha 90.00
_cell_angle_beta 90.00
_cell_angle_gamma 90.00
loop_
_atom_site_label
_atom_site_fract_x
_atom_site_fract_y
_atom_site_fract_z
_atom_site_occupancy
V1 0.000 0.000 0.000 1
I1 0.500 0.500 0.500 1
O1 0.000 0.000 0.500 1
# Calculated total energy   -27.30 eV for the cell shown
# Calculated volume   62.1 Å³/f.u.

=====

# 3
# VI2O2 PBE+U optimized geometry
data_VI2O2
_space_group_name_H-M_alt 'P 4/m m m'
_space_group_IT_number 123
_space_group_name_Hall '-P 4 2'
_cell_length_a 5.374
_cell_length_b 5.374
_cell_length_c 3.615
_cell_angle_alpha 90.00
_cell_angle_beta 90.00
_cell_angle_gamma 90.00
loop_
_atom_site_label
_atom_site_fract_x
_atom_site_fract_y
_atom_site_fract_z
_atom_site_occupancy
V1 0.000 0.000 0.000 1
I1 0.000 0.500 0.000 1
O1 0.000 0.000 0.500 1
O2 0.500 0.500 0.500 1
# Relative energy among the computed polymorphs   332.3 meV/atom
# Calculated volume   104.4 Å³/f.u.

=====

# 4
# VWIO2 PBE+U optimized geometry
data_VWIO2
_space_group_name_H-M_alt 'P 4/m m m'
_space_group_IT_number 123
_space_group_name_Hall '-P 4 2'
_cell_length_a 3.945
_cell_length_b 3.945
_cell_length_c 7.825
_cell_angle_alpha 90.00
_cell_angle_beta 90.00
_cell_angle_gamma 90.00
loop_
_atom_site_label
_atom_site_fract_x
_atom_site_fract_y
_atom_site_fract_z
_atom_site_occupancy
V1 0.000 0.000 0.000 1
W1 0.500 0.500 0.500 1
I1 0.500 0.500 0.000 1
O1 0.000 0.500 0.500 1
# Relative energy among the computed polymorphs   0.0 meV/atom
# Calculated volume   121.8 Å³/f.u.

=====

# 5
# VWIO2 PBE+U optimized geometry
data_VWIO2
_space_group_name_H-M_alt 'P 4/m m m'
_space_group_IT_number 123
_space_group_name_Hall '-P 4 2'
_cell_length_a 3.972
_cell_length_b 3.972
_cell_length_c 5.786
_cell_angle_alpha 90.00
_cell_angle_beta 90.00
_cell_angle_gamma 90.00
loop_
_atom_site_label
_atom_site_fract_x
_atom_site_fract_y
_atom_site_fract_z
_atom_site_occupancy
V1 0.000 0.000 0.000 1
W1 0.500 0.500 0.500 1
I1 0.000 0.000 0.500 1
O1 0.000 0.500 0.000 1
# Relative energy among the computed polymorphs   433.5 meV/atom
# Calculated volume   91.3 Å³/f.u.

=====

# 6
# VWI2O PBE+U optimized geometry
data_VWI2O
_space_group_name_H-M_alt 'P 4/m m m'
_space_group_IT_number 123
_space_group_name_Hall '-P 4 2'
_cell_length_a 5.822
_cell_length_b 5.822
_cell_length_c 3.718
_cell_angle_alpha 90.00
_cell_angle_beta 90.00
_cell_angle_gamma 90.00
loop_
_atom_site_label
_atom_site_fract_x
_atom_site_fract_y
_atom_site_fract_z
_atom_site_occupancy
V1 0.000 0.000 0.000 1
W1 0.500 0.500 0.500 1
I1 0.000 0.500 0.000 1
O1 0.000 0.000 0.500 1
# Relative energy among the computed polymorphs   0.0 meV/atom
# Calculated volume   126.0 Å³/f.u.

=====

# 7
# VWI2O PBE+U optimized geometry
data_VWI2O
_space_group_name_H-M_alt 'P 4/m m m'
_space_group_IT_number 123
_space_group_name_Hall '-P 4 2'
_cell_length_a 5.973
_cell_length_b 5.973
_cell_length_c 3.903
_cell_angle_alpha 90.00
_cell_angle_beta 90.00
_cell_angle_gamma 90.00
loop_
_atom_site_label
_atom_site_fract_x
_atom_site_fract_y
_atom_site_fract_z
_atom_site_occupancy
V1 0.000 0.000 0.000 1
W1 0.500 0.500 0.500 1
I1 0.000 0.500 0.500 1
O1 0.500 0.500 0.000 1
# Relative energy among the computed polymorphs   5.8 meV/atom
# Calculated volume   139.2 Å³/f.u.

=====

# 8
# YVI2O PBE+U optimized geometry
data_YVI2O
_space_group_name_H-M_alt 'P 4/m m m'
_space_group_IT_number 123
_space_group_name_Hall '-P 4 2'
_cell_length_a 6.165
_cell_length_b 6.165
_cell_length_c 4.172
_cell_angle_alpha 90.00
_cell_angle_beta 90.00
_cell_angle_gamma 90.00
loop_
_atom_site_label
_atom_site_fract_x
_atom_site_fract_y
_atom_site_fract_z
_atom_site_occupancy
Y1 0.000 0.000 0.000 1
V1 0.500 0.500 0.500 1
I1 0.000 0.500 0.000 1
O1 0.000 0.000 0.500 1
# Relative energy among the computed polymorphs   12.5 meV/atom
# Calculated volume   158.6 Å³/f.u.

=====

# 9
# YVI2O PBE+U optimized geometry
data_YVI2O
_space_group_name_H-M_alt 'P 4/m m m'
_space_group_IT_number 123
_space_group_name_Hall '-P 4 2'
_cell_length_a 5.848
_cell_length_b 5.848
_cell_length_c 3.735
_cell_angle_alpha 90.00
_cell_angle_beta 90.00
_cell_angle_gamma 90.00
loop_
_atom_site_label
_atom_site_fract_x
_atom_site_fract_y
_atom_site_fract_z
_atom_site_occupancy
Y1 0.000 0.000 0.000 1
V1 0.500 0.500 0.500 1
I1 0.000 0.500 0.500 1
O1 0.500 0.500 0.000 1
# Relative energy among the computed polymorphs   0.0 meV/atom
# Calculated volume   127.7 Å³/f.u.

=====

# 10
# VZn2IO7 PBE+U optimized geometry
data_VZn2IO7
_space_group_name_H-M_alt 'P 1 c 1'
_space_group_IT_number 7
_cell_length_a 5.343
_cell_length_b 10.232
_cell_length_c 5.621
_cell_angle_alpha 90.00
_cell_angle_beta 101.50
_cell_angle_gamma 90.00
loop_
_space_group_symop_operation_xyz
'x,y,z'
'x,-y,z+1/2'
loop_
_atom_site_label
_atom_site_fract_x
_atom_site_fract_y
_atom_site_fract_z
_atom_site_occupancy
V1 0.000 0.143 0.000 1
Zn1 0.499 0.061 0.517 1
Zn2 0.849 0.368 0.456 1
I1 0.428 0.371 0.776 1
O1 0.099 0.236 0.766 1
O2 0.194 0.459 0.547 1
O3 0.271 0.061 0.166 1
O4 0.539 0.257 0.554 1
O5 0.692 0.483 0.720 1
O6 0.753 0.038 0.862 1
O7 0.878 0.249 0.181 1
# Calculated total energy   -119.52 eV for the cell shown
# Calculated volume   150.5 Å³/f.u.

=====

# 11
# ZrVI2O PBE+U optimized geometry
data_ZrVI2O
_space_group_name_H-M_alt 'P 4/m m m'
_space_group_IT_number 123
_space_group_name_Hall '-P 4 2'
_cell_length_a 5.777
_cell_length_b 5.777
_cell_length_c 3.673
_cell_angle_alpha 90.00
_cell_angle_beta 90.00
_cell_angle_gamma 90.00
loop_
_atom_site_label
_atom_site_fract_x
_atom_site_fract_y
_atom_site_fract_z
_atom_site_occupancy
Zr1 0.000 0.000 0.000 1
V1 0.500 0.500 0.500 1
I1 0.000 0.500 0.500 1
O1 0.500 0.500 0.000 1
# Relative energy among the computed polymorphs   8.6 meV/atom
# Calculated volume   122.6 Å³/f.u.

=====

# 12
# ZrVI2O PBE+U optimized geometry
data_ZrVI2O
_space_group_name_H-M_alt 'P 4/m m m'
_space_group_IT_number 123
_space_group_name_Hall '-P 4 2'
_cell_length_a 5.942
_cell_length_b 5.942
_cell_length_c 4.004
_cell_angle_alpha 90.00
_cell_angle_beta 90.00
_cell_angle_gamma 90.00
loop_
_atom_site_label
_atom_site_fract_x
_atom_site_fract_y
_atom_site_fract_z
_atom_site_occupancy
Zr1 0.000 0.000 0.000 1
V1 0.500 0.500 0.500 1
I1 0.000 0.500 0.000 1
O1 0.000 0.000 0.500 1
# Relative energy among the computed polymorphs   0.0 meV/atom
# Calculated volume   141.4 Å³/f.u.